*P*
A geometry-optimized Fe3O2F4 structure, computed with GGA+U.

Geometry as POSCAR:
```
Fe3O2F4
1.0
-0.749 1.137 -4.824
-0.630 -5.691 -1.244
-7.807 -0.477 1.100
F O Fe
8 4 6
Direct
0.319 0.883 0.441 F
0.681 0.117 0.559 F
0.308 0.179 0.120 F
0.819 0.617 0.559 F
0.692 0.821 0.880 F
0.192 0.679 0.120 F
0.808 0.321 0.880 F
0.181 0.383 0.441 F
0.192 0.071 0.769 O
0.808 0.929 0.231 O
0.692 0.429 0.231 O
0.308 0.571 0.769 O
0.437 0.872 0.686 Fe
0.500 0.500 0.000 Fe
0.563 0.128 0.314 Fe
0.063 0.372 0.686 Fe
0.937 0.628 0.314 Fe
0.000 0.000 0.000 Fe
```

Calculated values
- SG = P2_1/c

***

*Q*
A geometry-optimized Fe3O2F4 structure, computed with GGA+U.

Geometry as POSCAR:
```
Fe3O2F4
1.0
-1.849 -2.743 -4.663
1.877 -5.400 0.071
-5.737 -4.696 1.879
F Fe O
8 6 4
Direct
0.567 0.570 0.639 F
0.909 0.910 0.293 F
0.631 0.041 0.661 F
0.230 0.222 0.975 F
0.430 0.433 0.361 F
0.090 0.091 0.707 F
0.778 0.770 0.025 F
0.959 0.369 0.339 F
0.013 0.987 0.000 Fe
0.019 0.981 0.500 Fe
0.358 0.328 0.160 Fe
0.672 0.642 0.840 Fe
0.315 0.352 0.666 Fe
0.648 0.685 0.334 Fe
0.308 0.692 0.000 O
0.712 0.288 0.000 O
0.350 0.990 0.334 O
0.010 0.650 0.666 O
```

Calculated values
- SG = C2

***

The winner here is *Q*, beating the second structure by 1.2 kJ/mol of atoms.